Version w
Crystalline VTcAsBr2 at its relaxed geometry, computed with PBE-GGA.

a b c (Å): 5.204 5.204 4.733
angles (deg): 90.00 90.00 90.00
Element x y z (fractional)
V (0.000, 0.000, 0.000)
Tc (0.500, 0.500, 0.500)
As (0.500, 0.500, 0.000)
Br (0.000, 0.500, 0.500)
Br (0.500, 0.000, 0.500)

Summary:
The density of states at the Fermi level is 11.15 states/eV/f.u.

***

Version x
Crystalline VTcAsBr2 at its relaxed geometry, computed with PBE-GGA.

a b c (Å): 5.008 5.008 5.048
angles (deg): 90.00 90.00 90.00
Element x y z (fractional)
V (0.000, 0.000, 0.000)
Tc (0.500, 0.500, 0.500)
As (0.000, 0.000, 0.500)
Br (0.000, 0.500, 0.000)
Br (0.500, 0.000, 0.000)

Summary:
The density of states at the Fermi level is 4.36 states/eV/f.u.

***

The data favor version x; the next most stable structure lies 31 meV per atom above it.

***

Version w
Crystalline YTcAs2Br at its relaxed geometry, computed with PBE-GGA.

a b c (Å): 4.783 4.783 5.235
angles (deg): 90.00 90.00 90.00
Element x y z (fractional)
Y (0.000, 0.000, 0.000)
Tc (0.500, 0.500, 0.500)
As (0.000, 0.500, 0.500)
As (0.500, 0.000, 0.500)
Br (0.500, 0.500, 0.000)

Summary:
The density of states at the Fermi level is 3.97 states/eV/f.u.

***

Version x
Crystalline YTcAs2Br at its relaxed geometry, computed with PBE-GGA.

a b c (Å): 5.476 5.476 5.365
angles (deg): 90.00 90.00 90.00
Element x y z (fractional)
Y (0.000, 0.000, 0.000)
Tc (0.500, 0.500, 0.500)
As (0.000, 0.500, 0.000)
As (0.500, 0.000, 0.000)
Br (0.000, 0.000, 0.500)

Summary:
The density of states at the Fermi level is 4.29 states/eV/f.u.

***

The data favor version w; the next most stable structure lies 764 meV per atom above it.

***

Version w
Crystalline ZnTcAsBr2 at its relaxed geometry, computed with PBE-GGA.

a b c (Å): 5.245 5.245 4.781
angles (deg): 90.00 90.00 90.00
Element x y z (fractional)
Zn (0.000, 0.000, 0.000)
Tc (0.500, 0.500, 0.500)
As (0.500, 0.500, 0.000)
Br (0.000, 0.500, 0.500)
Br (0.500, 0.000, 0.500)

Summary:
The density of states at the Fermi level is 2.24 states/eV/f.u.

***

Version x
Crystalline ZnTcAsBr2 at its relaxed geometry, computed with PBE-GGA.

a b c (Å): 5.000 5.000 5.205
angles (deg): 90.00 90.00 90.00
Element x y z (fractional)
Zn (0.000, 0.000, 0.000)
Tc (0.500, 0.500, 0.500)
As (0.000, 0.000, 0.500)
Br (0.000, 0.500, 0.000)
Br (0.500, 0.000, 0.000)

Summary:
The density of states at the Fermi level is 3.08 states/eV/f.u.

***

The data favor version w; the next most stable structure lies 509 meV per atom above it.

***

Version w
Crystalline ZrTcAs2Br at its relaxed geometry, computed with PBE-GGA.

a b c (Å): 4.754 4.754 5.193
angles (deg): 90.00 90.00 90.00
Element x y z (fractional)
Zr (0.000, 0.000, 0.000)
Tc (0.500, 0.500, 0.500)
As (0.000, 0.500, 0.500)
As (0.500, 0.000, 0.500)
Br (0.500, 0.500, 0.000)

Summary:
The density of states at the Fermi level is 6.66 states/eV/f.u.

***

Version x
Crystalline ZrTcAs2Br at its relaxed geometry, computed with PBE-GGA.

a b c (Å): 5.228 5.228 5.201
angles (deg): 90.00 90.00 90.00
Element x y z (fractional)
Zr (0.000, 0.000, 0.000)
Tc (0.500, 0.500, 0.500)
As (0.000, 0.500, 0.000)
As (0.500, 0.000, 0.000)
Br (0.000, 0.000, 0.500)

Summary:
The density of states at the Fermi level is 2.90 states/eV/f.u.

***

The data favor version w; the next most stable structure lies 190 meV per atom above it.

***

Version w
Crystalline ZrTcAsBr2 at its relaxed geometry, computed with PBE-GGA.

a b c (Å): 5.160 5.160 5.453
angles (deg): 90.00 90.00 90.00
Element x y z (fractional)
Zr (0.000, 0.000, 0.000)
Tc (0.500, 0.500, 0.000)
As (0.000, 0.000, 0.500)
Br (0.000, 0.500, 0.500)
Br (0.500, 0.000, 0.500)

Summary:
The density of states at the Fermi level is 4.57 states/eV/f.u.

***

Version x
Crystalline ZrTcAsBr2 at its relaxed geometry, computed with PBE-GGA.

a b c (Å): 5.063 5.063 4.795
angles (deg): 90.00 90.00 90.00
Element x y z (fractional)
Zr (0.000, 0.000, 0.000)
Tc (0.500, 0.500, 0.500)
As (0.500, 0.500, 0.000)
Br (0.000, 0.500, 0.500)
Br (0.500, 0.000, 0.500)

Summary:
The density of states at the Fermi level is 8.75 states/eV/f.u.

***

Version y
Crystalline ZrTcAsBr2 at its relaxed geometry, computed with PBE-GGA.

a b c (Å): 5.220 5.220 5.391
angles (deg): 90.00 90.00 90.00
Element x y z (fractional)
Zr (0.000, 0.000, 0.000)
Tc (0.500, 0.500, 0.500)
As (0.000, 0.000, 0.500)
Br (0.000, 0.500, 0.000)
Br (0.500, 0.000, 0.000)

Summary:
The density of states at the Fermi level is 3.95 states/eV/f.u.

***

The data favor version y; the next most stable structure lies 118 meV per atom above it.

***

Version w
Crystalline TeAsBr2 at its relaxed geometry, computed with PBE-GGA.

a b c (Å): 7.754 7.754 5.757
angles (deg): 111.59 111.59 25.33
Element x y z (fractional)
Te (0.000, 0.000, 0.000)
As (0.500, 0.500, 0.500)
Br (0.148, 0.148, 0.647)
Br (0.852, 0.852, 0.353)

Summary:
The density of states at the Fermi level is 2.30 states/eV/f.u.

***

Version x
Crystalline TeAsBr2 at its relaxed geometry, computed with PBE-GGA.

a b c (Å): 7.795 7.795 7.795
angles (deg): 152.04 144.49 45.79
Element x y z (fractional)
Te (0.000, 0.000, 0.000)
As (0.134, 0.634, 0.500)
Br (0.431, 0.431, 0.000)
Br (0.685, 0.185, 0.500)

Summary:
The density of states at the Fermi level is 2.30 states/eV/f.u.

***

Version y
Crystalline TeAsBr2 at its relaxed geometry, computed with PBE-GGA.

a b c (Å): 3.329 4.458 6.682
angles (deg): 90.00 90.00 90.00
Element x y z (fractional)
Te (0.000, 0.000, 0.000)
As (0.000, 0.000, 0.500)
Br (0.500, 0.500, 0.263)
Br (0.500, 0.500, 0.737)

Summary:
The density of states at the Fermi level is 2.77 states/eV/f.u.

***

The data favor version x; the next most stable structure lies 96 meV per atom above it.

***

Version w
Crystalline TeAsBr2 at its relaxed geometry, computed with PBE-GGA.

a b c (Å): 5.169 5.169 5.169
angles (deg): 60.00 60.00 60.00
Element x y z (fractional)
Te (0.000, 0.000, 0.000)
As (0.250, 0.250, 0.250)
Br (0.500, 0.500, 0.500)
Br (0.750, 0.750, 0.750)

Summary:
The density of states at the Fermi level is 2.84 states/eV/f.u.

***

Version x
Crystalline TeAsBr2 at its relaxed geometry, computed with PBE-GGA.

a b c (Å): 5.783 5.783 4.788
angles (deg): 112.99 112.99 110.11
Element x y z (fractional)
Te (0.000, 0.000, 0.000)
As (0.500, 0.500, 0.000)
Br (0.000, 0.500, 0.500)
Br (0.500, 0.000, 0.500)

Summary:
The density of states at the Fermi level is 2.03 states/eV/f.u.

***

Version y
Crystalline TeAsBr2 at its relaxed geometry, computed with PBE-GGA.

a b c (Å): 4.916 4.916 8.762
angles (deg): 90.00 90.00 133.90
Element x y z (fractional)
Te (0.000, 0.000, 0.000)
As (0.500, 0.500, 0.794)
Br (0.000, 0.000, 0.559)
Br (0.500, 0.500, 0.265)

Summary:
The density of states at the Fermi level is 2.92 states/eV/f.u.

***

Version z
Crystalline TeAsBr2 at its relaxed geometry, computed with PBE-GGA.

a b c (Å): 5.594 5.594 3.330
angles (deg): 90.00 90.00 107.55
Element x y z (fractional)
Te (0.000, 0.000, 0.000)
As (0.500, 0.500, 0.000)
Br (0.000, 0.500, 0.500)
Br (0.500, 0.000, 0.500)

Summary:
The density of states at the Fermi level is 3.53 states/eV/f.u.

***

The data favor version y; the next most stable structure lies 91 meV per atom above it.

***

Version w
Crystalline TeAs3Br at its relaxed geometry, computed with PBE-GGA.

a b c (Å): 5.373 5.373 5.373
angles (deg): 90.00 90.00 90.00
Element x y z (fractional)
Te (0.000, 0.000, 0.000)
As (0.000, 0.000, 0.500)
As (0.000, 0.500, 0.000)
As (0.500, 0.000, 0.000)
Br (0.500, 0.500, 0.500)

Summary:
The density of states at the Fermi level is 3.81 states/eV/f.u.

***

Version x
Crystalline TeAs3Br at its relaxed geometry, computed with PBE-GGA.

a b c (Å): 5.120 5.120 5.120
angles (deg): 90.00 90.00 90.00
Element x y z (fractional)
Te (0.000, 0.000, 0.000)
As (0.000, 0.500, 0.500)
As (0.500, 0.000, 0.500)
As (0.500, 0.500, 0.000)
Br (0.500, 0.500, 0.500)

Summary:
The density of states at the Fermi level is 4.72 states/eV/f.u.

***

The data favor version w; the next most stable structure lies 149 meV per atom above it.